Entry 1:
Here is crystalline Zr2AlCu at its relaxed geometry from Alexandria. Energies are from PBE.

Output
total magnetization = 0.000 μB per atom
energy = -0.22913 hartree per atom

```
Zr2AlCu
1.0
9.6627 0.0322 0.0189
9.1711 3.0430 0.0189
9.1711 1.4975 2.6492
Cu Zr Al
1 2 1
Cartesian
21.0037 3.4295 2.0152
0.1259 0.0206 0.0121
13.8766 2.2658 1.3314
7.0012 1.1432 0.6717
```

Entry 2:
Here is crystalline Zr2AlCu at its relaxed geometry from Alexandria. Energies are from PBE.

Output
total magnetization = 0.000 μB per atom
energy = -0.23758 hartree per atom

```
Zr2AlCu
1.0
-2.6958 -1.3520 -0.5701
0.8677 -2.4305 1.6614
-3.0142 3.3066 6.4116
Cu Zr Al
1 2 1
Cartesian
-3.0756 0.4799 5.1436
-2.9171 3.2001 6.2051
-1.7343 -0.9915 2.2903
-1.6366 1.7953 3.4812
```

Entry 3:
Here is crystalline Zr2AlCu at its relaxed geometry from Alexandria. Energies are from PBE.

Output
total magnetization = 0.000 μB per atom
energy = -0.23838 hartree per atom

```
Zr2AlCu
1.0
-3.1252 0.5940 -2.3850
-0.8691 -3.0576 0.3773
-4.0879 -1.5906 4.9604
Cu Zr Al
1 2 1
Cartesian
-5.2803 -3.1891 2.8108
-4.0711 -1.6038 4.9352
-2.4952 -2.3110 2.6940
-2.8018 -0.8650 0.1419
```

Entry 4:
Here is crystalline Zr4AlCu at its relaxed geometry from Alexandria. Energies are from PBE.

Output
total magnetization = 0.000 μB per atom
energy above the most stable polymorph in this dataset = 156 meV per atom
energy = -0.25979 hartree per atom

```
Zr4AlCu
1.0
-6.4983 7.1766 2.3739
5.4632 -8.2236 1.3755
4.7748 3.5587 2.3119
Cu Zr Al
2 8 2
Cartesian
0.4695 5.4853 3.8251
3.2702 -2.9735 2.2361
0.0000 0.0000 0.0000
2.3874 1.7794 1.1559
3.4927 -5.5754 1.5710
-2.0310 6.3893 3.3872
5.7707 -3.8775 2.6740
0.2471 8.0872 4.4902
2.1348 3.3413 3.6861
1.6049 -0.8295 2.3751
4.0464 0.8801 3.5265
-0.3067 1.6316 2.5347
```

Entry 5:
Here is crystalline Zr2AlCu at its relaxed geometry from Alexandria. Energies are from PBE.

Output
total magnetization = 0.000 μB per atom
energy = -0.23376 hartree per atom

```
Zr2AlCu
1.0
-1.3116 2.7577 -3.3224
-5.2457 0.3729 2.3804
1.7563 4.6253 3.1459
Zr Al Cu
4 2 2
Cartesian
-0.6558 1.3789 -1.6612
0.2223 3.6915 -0.0883
-2.3058 3.7265 4.0034
-1.1836 1.2717 1.5228
0.2904 3.5420 2.8253
-3.7798 1.4562 2.7009
-1.5953 5.0083 1.7222
-3.2057 2.7477 0.4816
```

Entry 6:
Here is crystalline Zr2AlCu at its relaxed geometry from Alexandria. Energies are from PBE.

Output
total magnetization = 0.000 μB per atom
energy = -0.22999 hartree per atom

```
Zr2AlCu
1.0
-2.2589 0.4791 2.0609
0.4882 -4.7470 1.6387
3.6586 -1.9892 4.4726
Cu Zr Al
1 2 1
Cartesian
1.8293 -0.9946 2.2363
0.0000 0.0000 0.0000
-0.8853 -2.1339 1.8498
0.9440 -3.1285 4.0861
```

Entry 7:
Here is crystalline Zr2AlCu2 at its relaxed geometry from Alexandria. Energies are from PBE.

Output
total magnetization = 0.000 μB per atom
energy = -0.20578 hartree per atom

```
Zr2AlCu2
1.0
4.6814 -3.8718 -1.1192
0.7936 -5.1715 3.2840
-4.4521 3.0146 -3.0412
Zr Al Cu
2 1 2
Cartesian
-0.4605 -3.3392 0.6626
1.4834 -2.6894 -1.5390
0.0000 0.0000 0.0000
3.2919 -5.4374 1.3016
2.1831 -3.6059 0.8632
```

Entry 8:
Here is crystalline Zr2AlCu at its relaxed geometry from Alexandria. Energies are from PBE.

Output
total magnetization = 0.039 μB per atom
energy = -0.21861 hartree per atom

```
Zr2AlCu
1.0
2.3101 -4.0011 0.0000
2.3101 4.0011 0.0000
0.0000 0.0000 8.9423
Zr Al Cu
4 2 2
Cartesian
2.3101 -1.3337 5.3207
2.3101 1.3337 0.8495
2.3101 1.3337 3.6216
2.3101 -1.3337 8.0928
0.0000 0.0000 0.0000
0.0000 0.0000 4.4712
2.3101 -1.3337 2.2356
2.3101 1.3337 6.7067
```

The evaluated energy of formation for the records listed, in turn: 0.00; -0.23; -0.25; -0.06; -0.13; -0.02; 0.21; 0.28 eV/atom.